[1]
Computed, not measured: a relaxed structure of LaPm2Sm2Ho at the PBE level of DFT.

POSCAR file:
```
LaPm2Sm2Ho
1.0
3.439 0.000 0.000
0.000 6.700 0.000
0.000 0.000 18.040
Sm Pm La Ho
4 4 2 2
Cartesian
1.720 4.852 12.328
0.000 5.198 3.308
0.000 1.502 14.732
1.720 1.848 5.712
1.720 1.467 11.703
1.720 5.233 6.336
0.000 4.817 15.356
0.000 1.883 2.684
0.000 0.000 0.000
1.720 3.350 9.020
0.000 0.000 9.020
1.720 3.350 0.000
```

Output
The value obtained for the electronic total energy is -4.493 eV per atom. Its symmetry is Pnnm.

[2]
Computed, not measured: a relaxed structure of RbSeBr2 at the PBE level of DFT.

POSCAR file:
```
RbSeBr2
1.0
6.193 0.000 0.000
0.000 6.193 0.000
3.096 3.096 8.857
Se Br Rb
2 4 2
Cartesian
3.096 6.193 4.429
3.096 3.096 0.000
3.952 1.548 2.214
7.741 7.048 6.643
4.644 5.337 6.643
2.240 4.644 2.214
0.000 0.000 0.000
6.193 3.096 4.429
```

Output
The value obtained for the formation energy from raw total energies is -55 kJ per mole of atoms. For the energy above the most stable polymorph in this dataset, the calculation gives 7.9 kJ per mole of atoms. Its symmetry is I-42d.

no.,Fermi-level density of states (states/eV per atom)
1,1.784
2,0.303